(1)
The following is a PBE calculation of a relaxed MnBeHg2 crystal, from the Alexandria database.

a = 4.6087 Å, b = 4.6087 Å, c = 4.6087 Å
α = 60.00°, β = 60.00°, γ = 60.00°
Closest atoms and distances in Å follow each position.
Atoms (fractional coordinates):
Mn  0.0000  0.0000  0.0000  4 Be 2.82, 4 Hg 2.82
Be  0.7500  0.7500  0.7500  4 Hg 2.82, 4 Mn 2.82
Hg  0.2500  0.2500  0.2500  4 Hg 2.82, 4 Mn 2.82
Hg  0.5000  0.5000  0.5000  4 Be 2.82, 4 Hg 2.82

Computed properties:
- Spin magnetization: 3.64 μB/f.u.
- Symmetry: F-43m
- Total DFT energy (no corrections): -2.824 eV per atom
- Formation energy from the elements: 0.551 eV per atom

=====

(2)
The following is a PBE calculation of a relaxed ZrP2SCl crystal, from the Alexandria database.

a = 5.1345 Å, b = 5.1345 Å, c = 4.8654 Å
α = 90.00°, β = 90.00°, γ = 90.00°
Closest atoms and distances in Å follow each position.
Atoms (fractional coordinates):
Zr  0.0000  0.0000  0.0000  2 S 2.43, 4 P 2.57
P  0.0000  0.5000  0.0000  2 Zr 2.57
P  0.5000  0.0000  0.0000  2 Zr 2.57
S  0.0000  0.0000  0.5000  2 Zr 2.43
Cl  0.5000  0.5000  0.5000  8 P 3.54, 4 S 3.63

Computed properties:
- Spin magnetization: 0.59 μB/f.u.
- Symmetry: P4/mmm
- Total DFT energy (no corrections): -4.854 eV per atom
- Uncorrected formation energy: 215 meV/atom
- Distance to the lowest polymorph of the same formula: 0.000 eV/atom

=====

(3)
The following is a PBE calculation of a relaxed Sr16Ca7Ac6 crystal, from the Alexandria database.

a = 12.8398 Å, b = 12.8398 Å, c = 12.8398 Å
α = 60.00°, β = 60.00°, γ = 60.00°
Closest atoms and distances in Å follow each position.
Atoms (fractional coordinates):
Sr  0.0058  0.6647  0.6647  3 Ca 3.71, 3 Sr 4.14
Sr  0.1173  0.1173  0.1173  4 Ca 3.69-4.02
Sr  0.1173  0.1173  0.6482  4 Ca 3.69-4.02
Sr  0.1173  0.6482  0.1173  4 Ca 3.69-4.02
Sr  0.3353  0.3353  0.3353  3 Ca 3.71, 3 Sr 4.14
Sr  0.3353  0.3353  0.9942  3 Ca 3.71, 3 Sr 4.14
Sr  0.3353  0.9942  0.3353  3 Ca 3.71, 3 Sr 4.14
Sr  0.3518  0.8827  0.8827  4 Ca 3.69-4.02
Sr  0.6482  0.1173  0.1173  4 Ca 3.69-4.02
Sr  0.6647  0.0058  0.6647  3 Ca 3.71, 3 Sr 4.14
Sr  0.6647  0.6647  0.0058  3 Ca 3.71, 3 Sr 4.14
Sr  0.6647  0.6647  0.6647  3 Ca 3.71, 3 Sr 4.14
Sr  0.8827  0.3518  0.8827  4 Ca 3.69-4.02
Sr  0.8827  0.8827  0.3518  4 Ca 3.69-4.02
Sr  0.8827  0.8827  0.8827  4 Ca 3.69-4.02
Sr  0.9942  0.3353  0.3353  3 Ca 3.71, 3 Sr 4.14
Ca  0.0000  0.0000  0.0000  8 Sr 3.69
Ca  0.0000  0.0000  0.5000  8 Sr 3.71-4.02
Ca  0.0000  0.5000  0.0000  8 Sr 3.71-4.02
Ca  0.0000  0.5000  0.5000  8 Sr 3.71-4.02
Ca  0.5000  0.0000  0.0000  8 Sr 3.71-4.02
Ca  0.5000  0.0000  0.5000  8 Sr 3.71-4.02
Ca  0.5000  0.5000  0.0000  8 Sr 3.71-4.02
Ac  0.3349  0.3349  0.6651  4 Sr 4.23, 4 Ac 4.24
Ac  0.3349  0.6651  0.3349  4 Sr 4.23, 4 Ac 4.24
Ac  0.3349  0.6651  0.6651  4 Sr 4.23, 4 Ac 4.24
Ac  0.6651  0.3349  0.3349  4 Sr 4.23, 4 Ac 4.24
Ac  0.6651  0.3349  0.6651  4 Sr 4.23, 4 Ac 4.24
Ac  0.6651  0.6651  0.3349  4 Sr 4.23, 4 Ac 4.24

Computed properties:
- Spin magnetization: 5.89 μB/f.u.
- Symmetry: Fm-3m
- Total DFT energy (no corrections): -2.070 eV per atom
- Formation energy from the elements: 0.191 eV per atom

=====

(4)
The following is a PBE calculation of a relaxed MgCdAs2 crystal, from the Alexandria database.

a = 6.9449 Å, b = 6.9449 Å, c = 6.9449 Å
α = 123.92°, β = 123.92°, γ = 83.33°
Closest atoms and distances in Å follow each position.
Atoms (fractional coordinates):
Mg  0.0000  0.0000  0.0000  4 As 2.64
Mg  0.7500  0.2500  0.5000  4 As 2.64
Cd  0.2500  0.7500  0.5000  4 As 2.65
Cd  0.5000  0.5000  0.0000  4 As 2.65
As  0.1234  0.6250  0.9984  2 Mg 2.64, 2 Cd 2.65
As  0.3750  0.3734  0.4984  2 Mg 2.64, 2 Cd 2.65
As  0.6266  0.1250  0.0016  2 Mg 2.64, 2 Cd 2.65
As  0.8750  0.8766  0.5016  2 Mg 2.64, 2 Cd 2.65

Computed properties:
- Spin magnetization: 0.00 μB/f.u.
- Symmetry: I-42d
- Total DFT energy (no corrections): -2.887 eV per atom
- Formation energy from the elements: 0.065 eV per atom
- Distance to the lowest polymorph of the same formula: 0.187 eV/atom

=====

(5)
The following is a PBE calculation of a relaxed SrLi2LaCo crystal, from the Alexandria database.

a = 5.3554 Å, b = 5.3554 Å, c = 4.7929 Å
α = 90.00°, β = 90.00°, γ = 90.00°
Closest atoms and distances in Å follow each position.
Atoms (fractional coordinates):
Sr  0.0000  0.0000  0.0000  8 Li 3.59, 4 La 3.79
Li  0.0000  0.5000  0.5000  2 Co 2.68
Li  0.5000  0.0000  0.5000  2 Co 2.68
La  0.5000  0.5000  0.0000  2 Co 2.40
Co  0.5000  0.5000  0.5000  2 La 2.40, 4 Li 2.68

Computed properties:
- Spin magnetization: 0.00 μB/f.u.
- Symmetry: P4/mmm
- Total DFT energy (no corrections): -3.338 eV per atom
- Formation energy from the elements: 0.170 eV per atom

=====

(6)
The following is a PBE calculation of a relaxed La4PrRu crystal, from the Alexandria database.

a = 4.9415 Å, b = 4.9415 Å, c = 8.8616 Å
α = 90.00°, β = 90.00°, γ = 90.00°
Closest atoms and distances in Å follow each position.
Atoms (fractional coordinates):
La  0.0000  0.5000  0.1934  2 Ru 3.01
La  0.0000  0.5000  0.8066  2 Ru 3.01
La  0.5000  0.0000  0.1934  2 Ru 3.01
La  0.5000  0.0000  0.8066  2 Ru 3.01
Pr  0.0000  0.0000  0.5000  8 La 3.67
Ru  0.5000  0.5000  0.0000  8 La 3.01

Computed properties:
- Spin magnetization: 1.15 μB/f.u.
- Symmetry: P4/mmm
- Total DFT energy (no corrections): -5.435 eV per atom
- Formation energy from the elements: 0.193 eV per atom
- Distance to the lowest polymorph of the same formula: 0.285 eV/atom

=====

(7)
The following is a PBE calculation of a relaxed Be2RuPb crystal, from the Alexandria database.

a = 4.2634 Å, b = 4.2634 Å, c = 4.2634 Å
α = 60.00°, β = 60.00°, γ = 60.00°
Closest atoms and distances in Å follow each position.
Atoms (fractional coordinates):
Be  0.2500  0.2500  0.2500  4 Pb 2.61, 4 Ru 2.61
Be  0.7500  0.7500  0.7500  4 Pb 2.61, 4 Ru 2.61
Ru  0.0000  0.0000  0.0000  8 Be 2.61
Pb  0.5000  0.5000  0.5000  8 Be 2.61

Computed properties:
- Spin magnetization: 0.00 μB/f.u.
- Symmetry: Fm-3m
- Total DFT energy (no corrections): -4.554 eV per atom
- Formation energy from the elements: 0.555 eV per atom
- Distance to the lowest polymorph of the same formula: 0.465 eV/atom

=====

(8)
The following is a PBE calculation of a relaxed Co2NiHg crystal, from the Alexandria database.

a = 4.7095 Å, b = 4.7095 Å, c = 4.7095 Å
α = 133.73°, β = 133.73°, γ = 67.52°
Closest atoms and distances in Å follow each position.
Atoms (fractional coordinates):
Co  0.2500  0.7500  0.5000  4 Co 2.62, 4 Hg 2.69, 4 Ni 2.69
Co  0.7500  0.2500  0.5000  4 Co 2.62, 4 Hg 2.69, 4 Ni 2.69
Ni  0.0000  0.0000  0.0000  4 Hg 2.62, 8 Co 2.69
Hg  0.5000  0.5000  0.0000  4 Ni 2.62, 8 Co 2.69

Computed properties:
- Spin magnetization: 3.75 μB/f.u.
- Symmetry: I4/mmm
- Total DFT energy (no corrections): -4.722 eV per atom
- Formation energy from the elements: 0.352 eV per atom

=====

(9)
The following is a PBE calculation of a relaxed CaLaAlAu crystal, from the Alexandria database.

a = 5.2992 Å, b = 5.2992 Å, c = 5.2992 Å
α = 60.00°, β = 60.00°, γ = 60.00°
Closest atoms and distances in Å follow each position.
Atoms (fractional coordinates):
Ca  0.0000  0.0000  0.0000  4 Au 3.25, 4 Al 3.25
La  0.5000  0.5000  0.5000  4 Al 3.25, 4 Au 3.25
Al  0.2500  0.2500  0.2500  4 La 3.25, 4 Ca 3.25
Au  0.7500  0.7500  0.7500  4 La 3.25, 4 Ca 3.25

Computed properties:
- Spin magnetization: 0.00 μB/f.u.
- Symmetry: F-43m
- Total DFT energy (no corrections): -4.008 eV per atom
- Formation energy from the elements: -0.521 eV per atom

=====

(10)
The following is a PBE calculation of a relaxed PaBeOsRu crystal, from the Alexandria database.

a = 4.5271 Å, b = 4.5271 Å, c = 4.5271 Å
α = 60.00°, β = 60.00°, γ = 60.00°
Closest atoms and distances in Å follow each position.
Atoms (fractional coordinates):
Pa  0.0000  0.0000  0.0000  4 Ru 2.77, 4 Os 2.77
Be  0.5000  0.5000  0.5000  4 Os 2.77, 4 Ru 2.77
Os  0.7500  0.7500  0.7500  4 Pa 2.77, 4 Be 2.77
Ru  0.2500  0.2500  0.2500  4 Be 2.77, 4 Pa 2.77

Computed properties:
- Spin magnetization: 0.00 μB/f.u.
- Symmetry: F-43m
- Total DFT energy (no corrections): -8.539 eV per atom
- Formation energy from the elements: -0.107 eV per atom

=====

(11)
The following is a PBE calculation of a relaxed Ba5HgAu4 crystal, from the Alexandria database.

a = 4.0619 Å, b = 4.0619 Å, c = 20.4427 Å
α = 90.00°, β = 90.00°, γ = 90.00°
Closest atoms and distances in Å follow each position.
Atoms (fractional coordinates):
Ba  0.0000  0.0000  0.0000  8 Au 3.50
Ba  0.0000  0.0000  0.1964  8 Au 3.51-3.52
Ba  0.0000  0.0000  0.3917  4 Au 3.48, 4 Hg 3.63
Ba  0.0000  0.0000  0.6083  4 Au 3.48, 4 Hg 3.63
Ba  0.0000  0.0000  0.8036  8 Au 3.51-3.52
Hg  0.5000  0.5000  0.5000  8 Ba 3.63
Au  0.5000  0.5000  0.0979  8 Ba 3.50-3.51
Au  0.5000  0.5000  0.2960  8 Ba 3.48-3.52
Au  0.5000  0.5000  0.7040  8 Ba 3.48-3.52
Au  0.5000  0.5000  0.9021  8 Ba 3.50-3.51

Computed properties:
- Spin magnetization: 0.00 μB/f.u.
- Symmetry: P4/mmm
- Total DFT energy (no corrections): -2.953 eV per atom
- Formation energy from the elements: -0.650 eV per atom

=====

(12)
The following is a PBE calculation of a relaxed Pr6NiRh2Cl3 crystal, from the Alexandria database.

a = 7.1205 Å, b = 7.1205 Å, c = 7.9656 Å
α = 98.57°, β = 98.57°, γ = 120.00°
Closest atoms and distances in Å follow each position.
Atoms (fractional coordinates):
Pr  0.0679  0.3981  0.2040  1 Ni 2.82, 2 Rh 2.84-2.85
Pr  0.2621  0.2621  0.7960  1 Ni 2.82, 2 Rh 2.85
Pr  0.3981  0.0679  0.2040  1 Ni 2.82, 2 Rh 2.84-2.85
Pr  0.6019  0.9321  0.7960  1 Ni 2.82, 2 Rh 2.84-2.85
Pr  0.7379  0.7379  0.2040  1 Ni 2.82, 2 Rh 2.85
Pr  0.9321  0.6019  0.7960  1 Ni 2.82, 2 Rh 2.84-2.85
Ni  0.0000  0.0000  0.0000  6 Pr 2.82
Rh  0.3332  0.6668  0.0000  6 Pr 2.84-2.85
Rh  0.6668  0.3332  0.0000  6 Pr 2.84-2.85
Cl  0.1651  0.8349  0.5000  6 Pr 3.25-3.30
Cl  0.5000  0.5000  0.5000  6 Pr 3.26-3.29
Cl  0.8349  0.1651  0.5000  6 Pr 3.25-3.30

Computed properties:
- Spin magnetization: 0.00 μB/f.u.
- Symmetry: C2/m
- Total DFT energy (no corrections): -5.634 eV per atom
- Uncorrected formation energy: -1076 meV/atom

=====

What did the eighth record say?
The following is a PBE calculation of a relaxed Co2NiHg crystal, from the Alexandria database.

a = 4.7095 Å, b = 4.7095 Å, c = 4.7095 Å
α = 133.73°, β = 133.73°, γ = 67.52°
Closest atoms and distances in Å follow each position.
Atoms (fractional coordinates):
Co  0.2500  0.7500  0.5000  4 Co 2.62, 4 Hg 2.69, 4 Ni 2.69
Co  0.7500  0.2500  0.5000  4 Co 2.62, 4 Hg 2.69, 4 Ni 2.69
Ni  0.0000  0.0000  0.0000  4 Hg 2.62, 8 Co 2.69
Hg  0.5000  0.5000  0.0000  4 Ni 2.62, 8 Co 2.69

Computed properties:
- Spin magnetization: 3.75 μB/f.u.
- Symmetry: I4/mmm
- Total DFT energy (no corrections): -4.722 eV per atom
- Formation energy from the elements: 0.352 eV per atom

=====

Q: spin magnetization of number 12 (Pr6NiRh2Cl3)?
A: 0.00 μB/f.u.

=====

What did the eighth record say?
The following is a PBE calculation of a relaxed Co2NiHg crystal, from the Alexandria database.

a = 4.7095 Å, b = 4.7095 Å, c = 4.7095 Å
α = 133.73°, β = 133.73°, γ = 67.52°
Closest atoms and distances in Å follow each position.
Atoms (fractional coordinates):
Co  0.2500  0.7500  0.5000  4 Co 2.62, 4 Hg 2.69, 4 Ni 2.69
Co  0.7500  0.2500  0.5000  4 Co 2.62, 4 Hg 2.69, 4 Ni 2.69
Ni  0.0000  0.0000  0.0000  4 Hg 2.62, 8 Co 2.69
Hg  0.5000  0.5000  0.0000  4 Ni 2.62, 8 Co 2.69

Computed properties:
- Spin magnetization: 3.75 μB/f.u.
- Symmetry: I4/mmm
- Total DFT energy (no corrections): -4.722 eV per atom
- Formation energy from the elements: 0.352 eV per atom

=====

Q: total DFT energy (no corrections) of number 5 (SrLi2LaCo)?
A: -3.338 eV per atom